The following is a DFT calculation (PBE) of an optimized crystal structure of CaFeTe.

Computed properties:
total DFT energy (no corrections)	-12.73	eV/cell
total magnetization	3.22	μB per cell
E_form (uncorrected)	0.880	eV per formula unit
SG	F-43m, No. 216
crystal system	cubic
V	88	Å³ per cell

```
CaFeTe
1.0
4.989 0.000 0.000
2.495 4.321 0.000
2.495 1.440 4.074
Te Ca Fe
1 1 1
direct
0.500 0.500 0.500 Te
0.750 0.750 0.750 Ca
0.000 0.000 0.000 Fe
```